# 1
First-principles (PBE-GGA) data for a relaxed structure of La3Pm5Y4, as listed in Alexandria via LeMat-Bulk.

Summary:
Magnetic moment in μB/f.u.: 0.24
DOS at the Fermi energy in states/eV/atom: 1.708

Unit cell a=6.0644 b=8.7277 c=9.7798 alpha=105.59 beta=71.94 gamma=69.67
Last column: nearest neighbours and their distance in Å.
Sites, in units of the cell vectors:
Y (0.1427, 0.7779, 0.9367)  2 Y 3.32-3.68, 1 La 3.48, 3 Pm 3.51-3.62
Y (0.8573, 0.2221, 0.0633)  2 Y 3.32-3.68, 1 La 3.48, 3 Pm 3.51-3.62
Y (0.8358, 0.9564, 0.3720)  3 La 3.34-3.63, 2 Pm 3.65, 3 Y 3.68-3.73
Y (0.1642, 0.0436, 0.6280)  3 La 3.34-3.63, 2 Pm 3.65, 3 Y 3.68-3.73
Pm (0.2174, 0.4554, 0.1097)  4 La 3.26-3.57, 3 Y 3.51-3.62
Pm (0.3774, 0.0464, 0.1988)  2 La 3.29-3.58, 1 Pm 3.45, 2 Y 3.65
Pm (0.6226, 0.9536, 0.8012)  2 La 3.29-3.58, 1 Pm 3.45, 2 Y 3.65
Pm (0.7826, 0.5446, 0.8903)  4 La 3.26-3.57, 3 Y 3.51-3.62
Pm (0.5000, 0.5000, 0.5000)  4 La 3.03-3.08
La (0.5185, 0.6882, 0.2749)  3 Pm 3.08-3.29, 1 Y 3.34
La (0.0000, 0.5000, 0.5000)  2 Pm 3.03
La (0.4815, 0.3118, 0.7251)  3 Pm 3.08-3.29, 1 Y 3.34

***

# 2
First-principles (PBE-GGA) data for a relaxed structure of Tm5Mg2In2, as listed in Alexandria via LeMat-Bulk.

Summary:
Magnetic moment in μB/f.u.: 0.00
DOS at the Fermi energy in states/eV/atom: 1.007

Unit cell a=7.2584 b=8.5775 c=9.2330 alpha=117.68 beta=90.00 gamma=90.00
Last column: nearest neighbours and their distance in Å.
Sites, in units of the cell vectors:
Tm (0.3352, 0.9574, 0.2906)  3 In 3.09-3.13, 2 Mg 3.14-3.25
Tm (0.5000, 0.5000, 0.0000)  4 Mg 3.05-3.22, 2 In 3.40
Tm (0.3352, 0.6669, 0.7094)  3 In 3.09-3.13, 2 Mg 3.14-3.25
Tm (0.6648, 0.0426, 0.7094)  3 In 3.09-3.13, 2 Mg 3.14-3.25
Tm (0.8352, 0.5426, 0.7094)  3 In 3.09-3.13, 2 Mg 3.14-3.25
Tm (0.6648, 0.3331, 0.2906)  3 In 3.09-3.13, 2 Mg 3.14-3.25
Tm (0.1648, 0.4574, 0.2906)  3 In 3.09-3.13, 2 Mg 3.14-3.25
Tm (0.1648, 0.1669, 0.7094)  3 In 3.09-3.13, 2 Mg 3.14-3.25
Tm (0.0000, 0.0000, 0.0000)  4 Mg 3.05-3.22, 2 In 3.40
Tm (0.8352, 0.8331, 0.2906)  3 In 3.09-3.13, 2 Mg 3.14-3.25
Mg (0.8879, 0.3633, 0.0000)  1 Mg 2.85, 3 Tm 3.05-3.14
Mg (0.6121, 0.8633, 0.0000)  1 Mg 2.85, 3 Tm 3.05-3.14
Mg (0.1121, 0.6367, 0.0000)  1 Mg 2.85, 3 Tm 3.05-3.14
Mg (0.3879, 0.1367, 0.0000)  1 Mg 2.85, 3 Tm 3.05-3.14
In (0.5000, 0.7080, 0.4160)  7 Tm 3.09-3.40
In (0.0000, 0.2080, 0.4160)  7 Tm 3.09-3.40
In (0.0000, 0.7920, 0.5840)  7 Tm 3.09-3.40
In (0.5000, 0.2920, 0.5840)  7 Tm 3.09-3.40

***

# 3
First-principles (PBE-GGA) data for a relaxed structure of CoNiP2, as listed in Alexandria via LeMat-Bulk.

Summary:
Magnetic moment in μB/f.u.: 0.50
DOS at the Fermi energy in states/eV/atom: 0.612

Unit cell a=2.7890 b=2.7890 c=6.9678 alpha=90.00 beta=90.00 gamma=90.00
Last column: nearest neighbours and their distance in Å.
Sites, in units of the cell vectors:
Ni (0.5000, 0.5000, 0.7483)  4 P 2.28
Co (0.0000, 0.0000, 0.5007)  4 P 2.28
P (0.0000, 0.0000, 0.9136)  4 Ni 2.28
P (0.5000, 0.5000, 0.3373)  4 Co 2.28

***

# 4
First-principles (PBE-GGA) data for a relaxed structure of FeTc5, as listed in Alexandria via LeMat-Bulk.

Summary:
Magnetic moment in μB/f.u.: 0.00
DOS at the Fermi energy in states/eV/atom: 0.988

Unit cell a=2.7302 b=7.2177 c=4.3182 alpha=90.00 beta=90.00 gamma=79.10
Last column: nearest neighbours and their distance in Å.
Sites, in units of the cell vectors:
Tc (0.3376, 0.3249, 0.0000)  10 Tc 2.67-2.85, 2 Fe 2.70
Tc (0.8916, 0.2169, 0.5000)  10 Tc 2.65-2.75, 2 Fe 2.66
Tc (0.5519, 0.8962, 0.5000)  8 Tc 2.65-2.78, 4 Fe 2.65
Tc (0.6610, 0.6780, 0.0000)  2 Fe 2.64, 10 Tc 2.66-2.85
Tc (0.2230, 0.5539, 0.5000)  12 Tc 2.70-2.78
Fe (0.0016, 0.9968, 0.0000)  10 Tc 2.64-2.70, 2 Fe 2.73

***

Asked for total energy across the records above, the calculation gives -5.152; -3.524; -6.020; -10.007 eV per atom in order.
Asked for DFT formation energy across the records above, the calculation gives 2.6; -0.7; -0.4; 0.2 eV/f.u. in order.
Asked for volume across the records above, the calculation gives 34.859; 28.281; 13.550; 13.926 Å³/atom in order.